w) DFT (PBE) results for a relaxed BaPAuO2 crystal.

a = 4.353 Å, b = 4.353 Å, c = 7.740 Å
α = 90.00°, β = 90.00°, γ = 90.00°
Positions (direct):
O 0.000 0.500 0.000
P 0.000 0.000 0.500
O 0.500 0.000 0.000
Ba 0.000 0.000 0.000
Au 0.500 0.500 0.500

Computed properties:
- M_tot (μB per formula unit) = 1.312
- DOS(E_F) (states/eV/atom) = 1.127

---

x) DFT (PBE) results for a relaxed BaPAuO2 crystal.

a = 4.539 Å, b = 4.539 Å, c = 4.560 Å
α = 90.00°, β = 90.00°, γ = 90.00°
Positions (direct):
Ba 0.500 0.500 0.500
O 0.500 0.000 0.000
Au 0.000 0.000 0.000
O 0.000 0.500 0.000
P 0.000 0.000 0.500

Computed properties:
- M_tot (μB per formula unit) = 0.000
- DOS(E_F) (states/eV/atom) = 0.647

---

y) DFT (PBE) results for a relaxed BaPAuO2 crystal.

a = 4.259 Å, b = 6.493 Å, c = 4.259 Å
α = 90.00°, β = 90.00°, γ = 90.00°
Positions (direct):
P 0.500 0.500 0.500
O 0.500 0.000 0.000
Ba 0.000 0.500 0.000
Au 0.000 0.000 0.000
O 0.000 0.000 0.500

Computed properties:
- M_tot (μB per formula unit) = 2.732
- DOS(E_F) (states/eV/atom) = 0.853

---

Referenced to the most stable arrangement, the calculated values in meV/atom are w) 746; x) 0; y) 654.

---

w) DFT (PBE) results for a relaxed BaOs2Au crystal.

a = 4.844 Å, b = 4.844 Å, c = 4.844 Å
α = 60.00°, β = 60.00°, γ = 60.00°
Positions (direct):
Os 0.750 0.750 0.750
Os 0.250 0.250 0.250
Ba 0.000 0.000 0.000
Au 0.500 0.500 0.500

Computed properties:
- M_tot (μB per formula unit) = 2.578
- DOS(E_F) (states/eV/atom) = 0.860

---

x) DFT (PBE) results for a relaxed BaOs2Au crystal.

a = 4.816 Å, b = 4.816 Å, c = 4.816 Å
α = 117.57°, β = 117.57°, γ = 94.27°
Positions (direct):
Os 0.250 0.750 0.500
Ba 0.750 0.250 0.500
Au 0.500 0.500 0.000
Os 0.000 0.000 0.000

Computed properties:
- M_tot (μB per formula unit) = 0.732
- DOS(E_F) (states/eV/atom) = 1.407

---

Referenced to the most stable arrangement, the calculated values in meV/atom are w) 289; x) 0.

---

w) DFT (PBE) results for a relaxed BaOs2Au crystal.

a = 4.800 Å, b = 4.305 Å, c = 5.203 Å
α = 80.86°, β = 90.00°, γ = 90.00°
Positions (direct):
Os 0.000 0.012 0.149
Os 0.000 0.488 0.351
Ba 0.500 0.750 0.750
Au 0.500 0.250 0.250

Computed properties:
- M_tot (μB per formula unit) = 0.000
- DOS(E_F) (states/eV/atom) = 1.098

---

x) DFT (PBE) results for a relaxed BaOs2Au crystal.

a = 5.086 Å, b = 6.049 Å, c = 2.978 Å
α = 76.70°, β = 87.80°, γ = 114.26°
Positions (direct):
Ba 0.500 0.500 0.000
Au 0.000 0.500 0.500
Os 0.500 0.000 0.500
Os 0.000 0.000 0.000

Computed properties:
- M_tot (μB per formula unit) = 0.003
- DOS(E_F) (states/eV/atom) = 1.294

---

Referenced to the most stable arrangement, the calculated values in meV/atom are w) 0; x) 546.

---

w) DFT (PBE) results for a relaxed BaOs2Au crystal.

a = 5.753 Å, b = 5.753 Å, c = 5.753 Å
α = 140.91°, β = 119.94°, γ = 74.03°
Positions (direct):
Os 0.919 0.919 0.000
Au 0.554 0.554 0.000
Ba 0.252 0.752 0.500
Os 0.775 0.275 0.500

Computed properties:
- M_tot (μB per formula unit) = 0.000
- DOS(E_F) (states/eV/atom) = 1.035

---

x) DFT (PBE) results for a relaxed BaOs2Au crystal.

a = 4.372 Å, b = 4.372 Å, c = 6.510 Å
α = 70.37°, β = 70.37°, γ = 60.01°
Positions (direct):
Au 0.456 0.456 0.631
Os 0.059 0.059 0.823
Ba 0.254 0.254 0.240
Os 0.731 0.731 0.807

Computed properties:
- M_tot (μB per formula unit) = 0.000
- DOS(E_F) (states/eV/atom) = 0.417

---

y) DFT (PBE) results for a relaxed BaOs2Au crystal.

a = 3.044 Å, b = 3.044 Å, c = 8.708 Å
α = 90.00°, β = 90.00°, γ = 90.00°
Positions (direct):
Au 0.500 0.500 0.250
Ba 0.500 0.500 0.750
Os 0.000 0.000 0.446
Os 0.000 0.000 0.054

Computed properties:
- M_tot (μB per formula unit) = 0.000
- DOS(E_F) (states/eV/atom) = 1.167

---

Referenced to the most stable arrangement, the calculated values in meV/atom are w) 625; x) 0; y) 1026.

---

w) DFT (PBE) results for a relaxed BaOs2Au crystal.

a = 10.462 Å, b = 10.462 Å, c = 10.462 Å
α = 16.36°, β = 16.36°, γ = 16.36°
Positions (direct):
Os 0.985 0.985 0.985
Os 0.255 0.255 0.255
Ba 0.748 0.748 0.748
Au 0.512 0.512 0.512

Computed properties:
- M_tot (μB per formula unit) = 0.000
- DOS(E_F) (states/eV/atom) = 1.380

---

x) DFT (PBE) results for a relaxed BaOs2Au crystal.

a = 2.853 Å, b = 4.425 Å, c = 6.938 Å
α = 90.00°, β = 90.00°, γ = 90.00°
Positions (direct):
Os 0.000 0.000 0.080
Ba 0.500 0.500 0.750
Os 0.000 0.000 0.420
Au 0.500 0.500 0.250

Computed properties:
- M_tot (μB per formula unit) = 0.004
- DOS(E_F) (states/eV/atom) = 1.430

---

Referenced to the most stable arrangement, the calculated values in meV/atom are w) 0; x) 112.

---

w) DFT (PBE) results for a relaxed BaOs2Au crystal.

a = 3.696 Å, b = 2.945 Å, c = 8.362 Å
α = 69.49°, β = 90.00°, γ = 90.00°
Positions (direct):
Ba 0.500 0.745 0.756
Os 0.000 0.915 0.083
Os 0.500 0.285 0.215
Au 0.000 0.556 0.445

Computed properties:
- M_tot (μB per formula unit) = 0.000
- DOS(E_F) (states/eV/atom) = 0.759

---

x) DFT (PBE) results for a relaxed BaOs2Au crystal.

a = 4.571 Å, b = 4.571 Å, c = 6.416 Å
α = 69.11°, β = 69.11°, γ = 59.98°
Positions (direct):
Ba 0.250 0.250 0.250
Os 0.426 0.426 0.722
Au 0.750 0.750 0.750
Os 0.074 0.074 0.778

Computed properties:
- M_tot (μB per formula unit) = 0.000
- DOS(E_F) (states/eV/atom) = 0.955

---

Referenced to the most stable arrangement, the calculated values in meV/atom are w) 47; x) 0.

---

w) DFT (PBE) results for a relaxed BaOs2Au crystal.

a = 10.549 Å, b = 10.549 Å, c = 10.549 Å
α = 15.99°, β = 15.99°, γ = 15.99°
Positions (direct):
Ba 0.750 0.750 0.750
Os 0.989 0.989 0.989
Os 0.511 0.511 0.511
Au 0.250 0.250 0.250

Computed properties:
- M_tot (μB per formula unit) = 0.000
- DOS(E_F) (states/eV/atom) = 0.950

---

x) DFT (PBE) results for a relaxed BaOs2Au crystal.

a = 4.725 Å, b = 4.725 Å, c = 10.156 Å
α = 76.55°, β = 76.55°, γ = 90.00°
Positions (direct):
Ba 0.250 0.750 0.500
Os 0.925 0.125 0.250
Au 0.000 0.000 0.000
Os 0.375 0.075 0.750
Os 0.875 0.175 0.750
Au 0.750 0.250 0.500
Os 0.825 0.625 0.250
Ba 0.500 0.500 0.000

Computed properties:
- M_tot (μB per formula unit) = 0.000
- DOS(E_F) (states/eV/atom) = 1.043

---

Referenced to the most stable arrangement, the calculated values in meV/atom are w) 520; x) 0.

---

w) DFT (PBE) results for a relaxed BaOs2Au crystal.

a = 4.901 Å, b = 4.117 Å, c = 4.117 Å
α = 90.00°, β = 90.00°, γ = 90.00°
Positions (direct):
Au 0.500 0.500 0.000
Os 0.000 0.000 0.000
Os 0.000 0.500 0.500
Ba 0.500 0.000 0.500

Computed properties:
- M_tot (μB per formula unit) = 0.000
- DOS(E_F) (states/eV/atom) = 1.193

---

x) DFT (PBE) results for a relaxed BaOs2Au crystal.

a = 5.714 Å, b = 5.714 Å, c = 5.714 Å
α = 137.08°, β = 137.08°, γ = 62.32°
Positions (direct):
Au 0.250 0.750 0.500
Ba 0.750 0.250 0.500
Os 0.000 0.000 0.000
Os 0.500 0.500 0.000

Computed properties:
- M_tot (μB per formula unit) = 3.100
- DOS(E_F) (states/eV/atom) = 1.363

---

Referenced to the most stable arrangement, the calculated values in meV/atom are w) 0; x) 86.